(1)
This record from the Alexandria database describes a geometry-optimized K2PtCN structure. The functional is PBE-GGA.

total energy	-5.266	eV per atom
crystal system	monoclinic
ΔE_f (raw)	-0.11	eV/atom
mass density	4.6	Mg/m³
spin magnetization	0.0	μB/f.u.

Cell: 6.457 3.837 9.318 Å, 90.00 108.87 90.00°
Space group P2_1/m (No. 11)
Symmetry-distinct sites (fractional):
K 0.211 0.250 0.404 (multiplicity 2)
K 0.263 0.750 0.055 (multiplicity 2)
Pt 0.331 0.750 0.721 (multiplicity 2)
C 0.225 0.250 0.758 (multiplicity 2)
N 0.071 0.250 0.812 (multiplicity 2)


(2)
This record from the Alexandria database describes a geometry-optimized K3LiS2 structure. The functional is PBE-GGA.

total energy	-3.326	eV per atom
crystal system	orthorhombic
ΔE_f (raw)	-1.08	eV/atom
mass density	1.9	Mg/m³
spin magnetization	0.0	μB/f.u.

Cell: 7.598 13.717 6.468 Å, 90.00 90.00 90.00°
Space group Ibam (No. 72)
Symmetry-distinct sites (fractional):
K 0.000 0.000 0.250 (multiplicity 4)
K 0.181 0.321 0.000 (multiplicity 8)
Li 0.000 0.500 0.250 (multiplicity 4)
S 0.200 0.400 0.500 (multiplicity 8)


(3)
This record from the Alexandria database describes a geometry-optimized Sr2CoW structure. The functional is PBE-GGA.

total energy	-5.205	eV per atom
crystal system	monoclinic
energy of formation from the pure elements	2.60	eV/f.u.
mass density	6.2	Mg/m³
spin magnetization	0.0	μB/f.u.
offset from the most stable computed form	61	meV/atom

Cell: 18.575 3.337 3.656 Å, 90.00 101.27 90.00°
Space group C2/m (No. 12)
Symmetry-distinct sites (fractional):
Sr 0.147 0.000 0.146 (multiplicity 4)
Co 0.000 0.500 0.000 (multiplicity 2)
W 0.000 0.000 0.500 (multiplicity 2)


(4)
This record from the Alexandria database describes a geometry-optimized MoAuCl2 structure. The functional is PBE-GGA.

total energy	-4.346	eV per atom
crystal system	orthorhombic
ΔE_f (raw)	0.10	eV/atom
mass density	6.6	Mg/m³
spin magnetization	1.8	μB/f.u.
offset from the most stable computed form	298	meV/atom

Cell: 2.950 4.565 13.639 Å, 90.00 90.00 90.00°
Space group Imm2 (No. 44)
Symmetry-distinct sites (fractional):
Mo 0.000 0.000 0.000 (multiplicity 2)
Au 0.000 0.500 0.674 (multiplicity 2)
Cl 0.000 0.000 0.512 (multiplicity 2)
Cl 0.000 0.500 0.355 (multiplicity 2)


(5)
This record from the Alexandria database describes a geometry-optimized Sr2Cd2Au structure. The functional is PBE-GGA.

total energy	-2.021	eV per atom
crystal system	tetragonal
energy of formation from the pure elements	-1.63	eV/f.u.
mass density	6.5	Mg/m³
spin magnetization	0.0	μB/f.u.
offset from the most stable computed form	144	meV/atom

Cell: 7.778 7.778 5.052 Å, 90.00 90.00 90.00°
Space group P4/mbm (No. 127)
Symmetry-distinct sites (fractional):
Sr 0.178 0.322 0.000 (multiplicity 4)
Cd 0.131 0.631 0.500 (multiplicity 4)
Au 0.000 0.000 0.500 (multiplicity 2)


(6)
This record from the Alexandria database describes a geometry-optimized Pm6Nd2Sc3 structure. The functional is PBE-GGA.

total energy	-5.134	eV per atom
crystal system	triclinic
energy of formation from the pure elements	0.56	eV/f.u.
mass density	6.2	Mg/m³
spin magnetization	0.0	μB/f.u.

Cell: 6.170 7.921 7.928 Å, 107.67 104.80 97.73°
Space group P-1 (No. 2)
Symmetry-distinct sites (fractional):
Pm 0.092 0.324 0.358 (multiplicity 2)
Pm 0.181 0.149 0.733 (multiplicity 2)
Pm 0.276 0.951 0.089 (multiplicity 2)
Nd 0.366 0.766 0.454 (multiplicity 2)
Sc 0.000 0.500 0.000 (multiplicity 1)
Sc 0.455 0.588 0.827 (multiplicity 2)


> Among the records above, which one has the highest total energy?

Sr2Cd2Au


> Which value of spin magnetization does entry 5 give?

0.0 μB/f.u.